[1]
The following is a PBE calculation of FeTc3B after structural relaxation, from Alexandria.

POSCAR file:
```
FeTc3B
1.0
-1.954 -3.354 1.097
1.798 -2.025 -2.990
3.036 -0.959 2.476
B Tc Fe
1 3 1
direct
0.000 0.000 0.000
0.000 0.500 0.000
0.000 0.000 0.500
0.500 0.000 0.000
0.500 0.500 0.500
```

Results
formation energy	1.8	eV per formula unit
crystal system	cubic
E above lowest polymorph	432.8	meV per atom
size of the total moment	0.00	μB per formula unit

---

[2]
The following is a PBE calculation of ZrGaAu after structural relaxation, from Alexandria.

POSCAR file:
```
ZrGaAu
1.0
-0.118 2.849 1.292
-3.009 0.251 -0.826
0.019 -3.848 4.694
Au Zr Ga
1 1 1
direct
0.294 0.294 0.589
0.610 0.610 0.221
0.945 0.945 0.891
```

Results
formation energy	-1.4	eV per formula unit
crystal system	tetragonal
size of the total moment	0.00	μB per formula unit